Entry 1:
! AcGdTl (GGA-PBE, relaxed); values from VASP
! theoretical density	8.44	g cm⁻³
! SG	No. 216
! Fermi-level density of states	4.906	states/eV/cell
! E_tot	-6.914	eV/atom
! polymorph energy (0 for the lowest one)	0.1489	eV/atom
&SYSTEM
  ibrav = 0, nat = 3, ntyp = 3
/
ATOMIC_SPECIES
Ac 227.00 Ac.upf
Gd 157.25 Gd.upf
Tl 204.38 Tl.upf
CELL_PARAMETERS angstrom
0.000 3.869 3.869
3.869 0.000 3.869
3.869 3.869 0.000
ATOMIC_POSITIONS crystal
Ac 0.000 0.000 0.000
Gd 0.500 0.500 0.500
Tl 0.750 0.750 0.750


Entry 2:
! Ac3PdAu2 (GGA-PBE, relaxed); values from VASP
! theoretical density	10.04	g cm⁻³
! SG	No. 15
! Fermi-level density of states	6.079	states/eV/cell
! E_tot	-4.791	eV/atom
! polymorph energy (0 for the lowest one)	0.0179	eV/atom
&SYSTEM
  ibrav = 0, nat = 12, ntyp = 3
/
ATOMIC_SPECIES
Ac 227.00 Ac.upf
Pd 106.42 Pd.upf
Au 196.97 Au.upf
CELL_PARAMETERS angstrom
7.218 -3.192 0.000
7.218 3.192 0.000
-2.754 0.000 8.476
ATOMIC_POSITIONS crystal
Ac 0.001 0.999 0.750
Ac 0.342 0.343 0.921
Ac 0.343 0.342 0.421
Ac 0.657 0.658 0.579
Ac 0.658 0.657 0.079
Ac 0.999 0.001 0.250
Pd 0.499 0.501 0.250
Pd 0.501 0.499 0.750
Au 0.170 0.170 0.085
Au 0.170 0.170 0.585
Au 0.830 0.830 0.415
Au 0.830 0.830 0.915


Entry 3:
! Pm12Ni7Sn (GGA-PBE, relaxed); values from VASP
! theoretical density	7.12	g cm⁻³
! SG	No. 148
! Fermi-level density of states	22.976	states/eV/cell
! E_tot	-5.262	eV/atom
&SYSTEM
  ibrav = 0, nat = 20, ntyp = 3
/
ATOMIC_SPECIES
Pm 145.00 Pm.upf
Ni 58.69 Ni.upf
Sn 118.71 Sn.upf
CELL_PARAMETERS angstrom
7.302 4.216 2.866
-7.302 4.216 2.866
0.000 -8.432 2.866
ATOMIC_POSITIONS crystal
Pm 0.116 0.261 0.662
Pm 0.116 0.409 0.324
Pm 0.261 0.662 0.116
Pm 0.324 0.116 0.409
Pm 0.338 0.884 0.739
Pm 0.409 0.324 0.116
Pm 0.591 0.676 0.884
Pm 0.662 0.116 0.261
Pm 0.676 0.884 0.591
Pm 0.739 0.338 0.884
Pm 0.884 0.591 0.676
Pm 0.884 0.739 0.338
Ni 0.028 0.265 0.932
Ni 0.068 0.972 0.735
Ni 0.265 0.932 0.028
Ni 0.500 0.500 0.500
Ni 0.735 0.068 0.972
Ni 0.932 0.028 0.265
Ni 0.972 0.735 0.068
Sn 0.000 0.000 0.000


Entry 4:
! Mg3SiBr (GGA-PBE, relaxed); values from VASP
! theoretical density	2.25	g cm⁻³
! SG	No. 221
! raw formation energy	0.547	eV per atom
! Fermi-level density of states	4.513	states/eV/cell
! E_tot	-1.829	eV/atom
! polymorph energy (0 for the lowest one)	0.6746	eV/atom
&SYSTEM
  ibrav = 0, nat = 5, ntyp = 3
/
ATOMIC_SPECIES
Mg 24.30 Mg.upf
Si 28.09 Si.upf
Br 79.90 Br.upf
CELL_PARAMETERS angstrom
5.108 0.000 0.000
0.000 5.108 0.000
0.000 0.000 5.108
ATOMIC_POSITIONS crystal
Mg 0.000 0.000 0.500
Mg 0.000 0.500 0.000
Mg 0.500 0.000 0.000
Si 0.500 0.500 0.500
Br 0.000 0.000 0.000


Entry 5:
! Mn2MoP (GGA-PBE, relaxed); values from VASP
! theoretical density	7.83	g cm⁻³
! SG	No. 139
! Fermi-level density of states	3.600	states/eV/cell
! E_tot	-8.716	eV/atom
&SYSTEM
  ibrav = 0, nat = 4, ntyp = 3
/
ATOMIC_SPECIES
Mn 54.94 Mn.upf
Mo 95.94 Mo.upf
P 30.97 P.upf
CELL_PARAMETERS angstrom
-1.807 1.807 3.845
1.807 -1.807 3.845
1.807 1.807 -3.845
ATOMIC_POSITIONS crystal
Mn 0.250 0.750 0.500
Mn 0.750 0.250 0.500
Mo 0.000 0.000 0.000
P 0.500 0.500 0.000


Entry 6:
! Na2CaNi2 (GGA-PBE, relaxed); values from VASP
! theoretical density	3.07	g cm⁻³
! SG	No. 139
! Fermi-level density of states	8.469	states/eV/cell
! E_tot	-2.921	eV/atom
! polymorph energy (0 for the lowest one)	0.0000	eV/atom
&SYSTEM
  ibrav = 0, nat = 5, ntyp = 3
/
ATOMIC_SPECIES
Na 22.99 Na.upf
Ca 40.08 Ca.upf
Ni 58.69 Ni.upf
CELL_PARAMETERS angstrom
-2.055 2.055 6.509
2.055 -2.055 6.509
2.055 2.055 -6.509
ATOMIC_POSITIONS crystal
Na 0.250 0.750 0.500
Na 0.750 0.250 0.500
Ca 0.000 0.000 0.000
Ni 0.414 0.414 0.000
Ni 0.586 0.586 0.000


Entry 7:
! Cr2HgSe (GGA-PBE, relaxed); values from VASP
! theoretical density	10.47	g cm⁻³
! SG	No. 225
! raw formation energy	0.758	eV per atom
! Fermi-level density of states	5.975	states/eV/cell
! E_tot	-5.000	eV/atom
! polymorph energy (0 for the lowest one)	0.5440	eV/atom
&SYSTEM
  ibrav = 0, nat = 4, ntyp = 3
/
ATOMIC_SPECIES
Cr 52.00 Cr.upf
Hg 200.59 Hg.upf
Se 78.96 Se.upf
CELL_PARAMETERS angstrom
0.000 3.122 3.122
3.122 0.000 3.122
3.122 3.122 0.000
ATOMIC_POSITIONS crystal
Cr 0.250 0.250 0.250
Cr 0.750 0.750 0.750
Hg 0.000 0.000 0.000
Se 0.500 0.500 0.500


Entry 8:
! Dy2CdOsC (GGA-PBE, relaxed); values from VASP
! theoretical density	10.70	g cm⁻³
! SG	No. 123
! Fermi-level density of states	1.640	states/eV/cell
! E_tot	-6.505	eV/atom
&SYSTEM
  ibrav = 0, nat = 5, ntyp = 4
/
ATOMIC_SPECIES
Dy 162.50 Dy.upf
Cd 112.41 Cd.upf
Os 190.23 Os.upf
C 12.01 C.upf
CELL_PARAMETERS angstrom
5.024 0.000 0.000
0.000 5.024 0.000
0.000 0.000 3.934
ATOMIC_POSITIONS crystal
Dy 0.000 0.500 0.000
Dy 0.500 0.000 0.000
Cd 0.000 0.000 0.500
Os 0.500 0.500 0.500
C 0.500 0.500 0.000


Question: What is the theoretical density in the third record?
Answer: 7.12 g cm⁻³


Question: Which value of theoretical density does entry 8 give?
Answer: 10.70 g cm⁻³